# 1
Computed, not measured: a crystal of TiBP2Cl relaxed with PBEsol at the meta-GGA SCAN level of DFT.

Calculated values
calculated density	2.55	Mg/m³
E_form (uncorrected)	0.791	eV per atom
DFT total energy	-9.66	eV/atom

CIF file:
```
data_TiBP2Cl
_chemical_formula_sum 'Ti1 B1 P2 Cl1'
_symmetry_space_group_name_H-M 'P 4/m m m'
_symmetry_Int_Tables_number 123
_symmetry_space_group_name_Hall '-P 4 2'
_cell_length_a 4.681
_cell_length_b 4.681
_cell_length_c 4.640
_cell_angle_alpha 90.00
_cell_angle_beta 90.00
_cell_angle_gamma 90.00
loop_
_atom_site_label
_atom_site_type_symbol
_atom_site_fract_x
_atom_site_fract_y
_atom_site_fract_z
Ti1 Ti 0.000 0.000 0.000
B1 B 0.500 0.500 0.500
P1 P 0.000 0.500 0.000
Cl1 Cl 0.000 0.000 0.500
```

---

# 2
Computed, not measured: a crystal of CuPb3Cl2O4 relaxed with PBEsol at the meta-GGA SCAN level of DFT.

Calculated values
calculated density	7.38	Mg/m³
E_form (uncorrected)	-1.002	eV per atom
DFT total energy	-29.34	eV/atom

CIF file:
```
data_CuPb3Cl2O4
_chemical_formula_sum 'Cu2 Pb6 Cl4 O8'
_symmetry_space_group_name_H-M 'P 1 21/m 1'
_symmetry_Int_Tables_number 11
_symmetry_space_group_name_Hall '-P 2yb'
_cell_length_a 6.798
_cell_length_b 5.457
_cell_length_c 10.175
_cell_angle_alpha 90.00
_cell_angle_beta 102.09
_cell_angle_gamma 90.00
loop_
_atom_site_label
_atom_site_type_symbol
_atom_site_fract_x
_atom_site_fract_y
_atom_site_fract_z
Cu1 Cu 0.000 0.000 0.000
Pb1 Pb 0.106 0.250 0.312
Pb2 Pb 0.355 0.750 0.546
Pb3 Pb 0.453 0.750 0.192
Cl1 Cl 0.124 0.250 0.613
Cl2 Cl 0.350 0.750 0.860
O1 O 0.101 0.750 0.115
O2 O 0.150 0.250 0.090
O3 O 0.382 0.502 0.367
```

---

# 3
Computed, not measured: a crystal of SrIn2Sb relaxed with PBEsol at the meta-GGA SCAN level of DFT.

Calculated values
calculated density	6.41	Mg/m³
E_form (uncorrected)	-0.374	eV per atom
DFT total energy	-31.95	eV/atom

CIF file:
```
data_SrIn2Sb
_chemical_formula_sum 'Sr1 In2 Sb1'
_symmetry_space_group_name_H-M 'P 4/m m m'
_symmetry_Int_Tables_number 123
_symmetry_space_group_name_Hall '-P 4 2'
_cell_length_a 3.988
_cell_length_b 3.988
_cell_length_c 7.152
_cell_angle_alpha 90.00
_cell_angle_beta 90.00
_cell_angle_gamma 90.00
loop_
_atom_site_label
_atom_site_type_symbol
_atom_site_fract_x
_atom_site_fract_y
_atom_site_fract_z
Sr1 Sr 0.000 0.000 0.000
In1 In 0.500 0.500 0.292
Sb1 Sb 0.000 0.000 0.500
```

---

# 4
Computed, not measured: a crystal of In2RePt relaxed with PBEsol at the meta-GGA SCAN level of DFT.

Calculated values
energy relative to the elements	254	meV/atom
calculated density	14.73	Mg/m³
distance to the lowest polymorph of the same formula	0.120	eV per atom
DFT total energy	-51.76	eV/atom

CIF file:
```
data_In2RePt
_chemical_formula_sum 'In6 Re3 Pt3'
_symmetry_space_group_name_H-M 'R -3 m'
_symmetry_Int_Tables_number 166
_symmetry_space_group_name_Hall '-R 3 2"'
_cell_length_a 2.9862
_cell_length_b 2.9862
_cell_length_c 26.7593
_cell_angle_alpha 90.00
_cell_angle_beta 90.00
_cell_angle_gamma 120.00
loop_
_atom_site_label
_atom_site_type_symbol
_atom_site_fract_x
_atom_site_fract_y
_atom_site_fract_z
In1 In 0.0000 0.0000 0.2492
Re1 Re 0.0000 0.0000 0.0000
Pt1 Pt 0.0000 0.0000 0.5000
```

---

# 5
Computed, not measured: a crystal of In4Hg relaxed with PBEsol at the meta-GGA SCAN level of DFT.

Calculated values
energy relative to the elements	80	meV/atom
calculated density	8.21	Mg/m³
distance to the lowest polymorph of the same formula	0.019	eV per atom
DFT total energy	-40.26	eV/atom

CIF file:
```
data_In4Hg
_chemical_formula_sum 'In8 Hg2'
_symmetry_space_group_name_H-M 'I 4/m m m'
_symmetry_Int_Tables_number 139
_symmetry_space_group_name_Hall '-I 4 2'
_cell_length_a 4.230
_cell_length_b 4.230
_cell_length_c 14.924
_cell_angle_alpha 90.00
_cell_angle_beta 90.00
_cell_angle_gamma 90.00
loop_
_atom_site_label
_atom_site_type_symbol
_atom_site_fract_x
_atom_site_fract_y
_atom_site_fract_z
In1 In 0.000 0.000 0.097
In2 In 0.000 0.500 0.250
Hg1 Hg 0.000 0.000 0.500
```

---

# 6
Computed, not measured: a crystal of Al13Si5H14ClO34F4 relaxed with PBEsol at the meta-GGA SCAN level of DFT.

Calculated values
calculated density	2.87	Mg/m³
DFT total energy	-8.74	eV/atom

CIF file:
```
data_Al13Si5H14ClO34F4
_chemical_formula_sum 'Al13 Si5 H14 Cl1 O34 F4'
_symmetry_space_group_name_H-M 'P 1'
_symmetry_Int_Tables_number 1
_symmetry_space_group_name_Hall 'P 1'
_cell_length_a 9.795
_cell_length_b 9.814
_cell_length_c 9.821
_cell_angle_alpha 60.49
_cell_angle_beta 60.18
_cell_angle_gamma 60.31
loop_
_atom_site_label
_atom_site_type_symbol
_atom_site_fract_x
_atom_site_fract_y
_atom_site_fract_z
Al1 Al 0.000 0.000 0.000
Al2 Al 0.000 0.341 0.302
Al3 Al 0.004 0.705 0.297
Al4 Al 0.292 0.332 0.020
Al5 Al 0.292 0.721 0.637
Al6 Al 0.296 0.707 0.993
Al7 Al 0.635 0.708 0.297
Al8 Al 0.637 0.702 0.005
Al9 Al 0.639 0.000 0.003
Al10 Al 0.985 0.690 0.984
Al11 Al 0.995 0.004 0.645
Al12 Al 0.998 0.338 0.009
Al13 Al 0.999 0.710 0.635
Si1 Si 0.346 0.049 0.898
Si2 Si 0.346 0.594 0.351
Si3 Si 0.347 0.054 0.355
Si4 Si 0.481 0.189 0.492
Si5 Si 0.889 0.052 0.352
H1 H 0.178 0.921 0.772
H2 H 0.245 0.451 0.750
H3 H 0.439 0.403 0.713
H4 H 0.578 0.618 0.589
H5 H 0.583 0.570 0.901
H6 H 0.584 0.287 0.907
H7 H 0.708 0.769 0.718
H8 H 0.709 0.416 0.436
H9 H 0.721 0.032 0.169
H10 H 0.738 0.979 0.746
H11 H 0.748 0.452 0.178
H12 H 0.879 0.287 0.890
H13 H 0.891 0.291 0.592
H14 H 0.893 0.571 0.587
Cl1 Cl 0.732 0.438 0.739
O1 O 0.055 0.755 0.761
O2 O 0.055 0.757 0.070
O3 O 0.058 0.012 0.787
O4 O 0.062 0.463 0.061
O5 O 0.229 0.943 0.507
O6 O 0.232 0.936 0.966
O7 O 0.233 0.211 0.966
O8 O 0.233 0.215 0.244
O9 O 0.233 0.662 0.511
O10 O 0.235 0.654 0.237
O11 O 0.313 0.752 0.786
O12 O 0.327 0.467 0.771
O13 O 0.415 0.121 0.424
O14 O 0.418 0.122 0.694
O15 O 0.418 0.391 0.428
O16 O 0.506 0.663 0.239
O17 O 0.507 0.937 0.964
O18 O 0.510 0.941 0.240
O19 O 0.511 0.221 0.955
O20 O 0.512 0.653 0.960
O21 O 0.514 0.653 0.518
O22 O 0.685 0.123 0.422
O23 O 0.759 0.761 0.064
O24 O 0.774 0.480 0.333
O25 O 0.775 0.029 0.782
O26 O 0.775 0.039 0.052
O27 O 0.775 0.748 0.778
O28 O 0.781 0.482 0.056
O29 O 0.951 0.222 0.519
O30 O 0.952 0.938 0.240
O31 O 0.955 0.651 0.517
O32 O 0.955 0.940 0.512
O33 O 0.958 0.211 0.240
O34 O 0.960 0.218 0.951
F1 F 0.038 0.488 0.331
F2 F 0.055 0.480 0.783
F3 F 0.330 0.482 0.041
F4 F 0.780 0.745 0.335
```

---

# 7
Computed, not measured: a crystal of SrMg2 relaxed with PBEsol at the meta-GGA SCAN level of DFT.

Calculated values
energy relative to the elements	53	meV/atom
calculated density	2.43	Mg/m³
DFT total energy	-10.69	eV/atom

CIF file:
```
data_SrMg2
_chemical_formula_sum 'Sr2 Mg4'
_symmetry_space_group_name_H-M 'P 63/m m c'
_symmetry_Int_Tables_number 194
_symmetry_space_group_name_Hall '-P 6c 2c'
_cell_length_a 5.6517
_cell_length_b 5.6517
_cell_length_c 6.7406
_cell_angle_alpha 90.00
_cell_angle_beta 90.00
_cell_angle_gamma 120.00
loop_
_atom_site_label
_atom_site_type_symbol
_atom_site_fract_x
_atom_site_fract_y
_atom_site_fract_z
Sr1 Sr 0.3333 0.6667 0.2500
Mg1 Mg 0.0000 0.0000 0.0000
Mg2 Mg 0.3333 0.6667 0.7500
```

---

# 8
Computed, not measured: a crystal of LiCd relaxed with PBEsol at the meta-GGA SCAN level of DFT.

Calculated values
energy relative to the elements	-195	meV/atom
calculated density	5.33	Mg/m³
DFT total energy	-16.60	eV/atom

CIF file:
```
data_LiCd
_chemical_formula_sum 'Li3 Cd3'
_symmetry_space_group_name_H-M 'R -3 m'
_symmetry_Int_Tables_number 166
_symmetry_space_group_name_Hall '-R 3 2"'
_cell_length_a 3.0035
_cell_length_b 3.0035
_cell_length_c 14.2830
_cell_angle_alpha 90.00
_cell_angle_beta 90.00
_cell_angle_gamma 120.00
loop_
_atom_site_label
_atom_site_type_symbol
_atom_site_fract_x
_atom_site_fract_y
_atom_site_fract_z
Li1 Li 0.0000 0.0000 0.0000
Cd1 Cd 0.0000 0.0000 0.5000
```